No. 1
Entry from the Alexandria database: crystalline MgCo2Pd2 at its relaxed geometry (PBE).

abc: 7.2572 7.2572 2.8076
angles: 90.00 90.00 90.00
With the nearest neighbours (Å) after each atom.
Fractional coordinates of all 10 atoms:
1 Co 0.6097 0.1097 0.0000  1 Co 2.25
2 Co 0.3903 0.8903 0.0000  1 Co 2.25
3 Co 0.1097 0.3903 0.0000  1 Co 2.25
4 Co 0.8903 0.6097 0.0000  1 Co 2.25
5 Pd 0.8147 0.3147 0.5000  6 Co 2.53-2.62, 2 Pd 2.81
6 Pd 0.1853 0.6853 0.5000  6 Co 2.53-2.62, 2 Pd 2.81
7 Pd 0.3147 0.1853 0.5000  6 Co 2.53-2.62, 2 Pd 2.81
8 Pd 0.6853 0.8147 0.5000  6 Co 2.53-2.62, 2 Pd 2.81
9 Mg 0.5000 0.5000 0.0000  2 Mg 2.81, 4 Co 2.94, 8 Pd 3.00
10 Mg 0.0000 0.0000 0.0000  2 Mg 2.81, 4 Co 2.94, 8 Pd 3.00

## Properties
- Formation enthalpy at 0 K: -0.01 eV/atom
- Total magnetic moment: 8.25 Bohr magnetons per cell

=====

No. 2
Entry from the Alexandria database: crystalline Ac6GaCo2Cl3 at its relaxed geometry (PBE).

abc: 4.2700 9.4315 10.2985
angles: 107.90 101.96 90.00
With the nearest neighbours (Å) after each atom.
Fractional coordinates of all 12 atoms:
1 Ga 0.5000 0.0000 0.0000  6 Ac 3.14
2 Cl 0.1651 0.8468 0.3302  6 Ac 3.37-3.55
3 Cl 0.5000 0.5000 0.0000  6 Ac 3.26-3.51
4 Cl 0.8349 0.1532 0.6698  6 Ac 3.37-3.55
5 Ac 0.0195 0.2544 0.0391  1 Co 2.87, 2 Ga 3.14
6 Ac 0.3360 0.8753 0.6721  2 Co 2.94, 1 Ga 3.14
7 Ac 0.3190 0.4416 0.6380  3 Co 2.86-2.91
8 Ac 0.9805 0.7456 0.9609  1 Co 2.87, 2 Ga 3.14
9 Ac 0.6810 0.5584 0.3620  3 Co 2.86-2.91
10 Ac 0.6640 0.1247 0.3279  2 Co 2.94, 1 Ga 3.14
11 Co 0.1693 0.3424 0.3386  6 Ac 2.86-2.94
12 Co 0.8307 0.6576 0.6614  6 Ac 2.86-2.94

## Properties
- Uncorrected formation energy: -85.4 kJ per mole of atoms
- Total magnetic moment: 0.00 Bohr magnetons per cell

=====

No. 3
Entry from the Alexandria database: crystalline Cs3Se at its relaxed geometry (PBE).

abc: 5.1518 5.1486 10.2179
angles: 90.00 90.00 90.00
With the nearest neighbours (Å) after each atom.
Fractional coordinates of all 4 atoms:
1 Se 0.0000 0.0000 0.0844  8 Cs 3.64-3.87
2 Cs 0.5000 0.5000 0.0831  4 Se 3.64, 4 Cs 3.86
3 Cs 0.0000 0.5000 0.3639  2 Se 3.85, 2 Cs 3.86
4 Cs 0.5000 0.0000 0.8019  2 Cs 3.86, 2 Se 3.87

## Properties
- Uncorrected formation energy: -61.2 kJ per mole of atoms
- Total magnetic moment: 0.00 Bohr magnetons per cell

=====

No. 4
Entry from the Alexandria database: crystalline USnRh at its relaxed geometry (PBE).

abc: 4.6328 4.6328 4.6328
angles: 60.00 60.00 60.00
With the nearest neighbours (Å) after each atom.
Fractional coordinates of all 3 atoms:
1 U 0.0000 0.0000 0.0000  4 Rh 2.84
2 Sn 0.5000 0.5000 0.5000  4 Rh 2.84
3 Rh 0.2500 0.2500 0.2500  4 Sn 2.84, 4 U 2.84

## Properties
- Formation enthalpy at 0 K: -0.31 eV/atom
- Total magnetic moment: 1.42 Bohr magnetons per cell

=====

Question: What is the formula in the first record?
Answer: MgCo2Pd2

=====

Question: Look up the total magnetic moment of the fourth one.
Answer: 1.42 Bohr magnetons per cell

=====

Question: Number 3 is which compound?
Answer: Cs3Se